# CaZn2Ir GGA-PBEsol relaxed
# ΔE_f = -0.249 eV/atom
data_CaZn2Ir
_chemical_formula_sum 'Ca2 Zn4 Ir2'
_space_group_name_H-M_alt 'C 1 2/m 1'
_space_group_IT_number 12
_cell_length_a 7.398
_cell_length_b 4.236
_cell_length_c 5.436
_cell_angle_alpha 90.00
_cell_angle_beta 116.30
_cell_angle_gamma 90.00
loop_
_space_group_symop_operation_xyz
'x,y,z'
'-x,-y,-z'
'-x,y,-z'
'x,-y,z'
'x+1/2,y+1/2,z'
'-x+1/2,-y+1/2,-z'
'-x+1/2,y+1/2,-z'
'x+1/2,-y+1/2,z'
loop_
_atom_site_label
_atom_site_type_symbol
_atom_site_fract_x
_atom_site_fract_y
_atom_site_fract_z
_atom_site_occupancy
Ca1 Ca 0.000 0.000 0.000 1
Zn1 Zn 0.206 0.000 0.617 1
Ir1 Ir 0.000 0.500 0.500 1